The following is a PBE calculation of RbCd3Hg10 after structural relaxation, from the Alexandria database.

a = 15.186 Å, b = 15.186 Å, c = 15.186 Å
α = 90.00°, β = 90.00°, γ = 90.00°
Space group Fm-3m (No. 225)
Unique sites:
Rb  0.250  0.250  0.250 [8 per cell]
Cd  0.000  0.000  0.240 [24 per cell]
Hg  0.000  0.176  0.324 [48 per cell]
Hg  0.112  0.112  0.112 [32 per cell]

## Properties
Energy relative to the elements in eV per atom: -0.03

The following is a PBE calculation of PuUCo after structural relaxation, from the Alexandria database.

a = 4.047 Å, b = 5.300 Å, c = 5.335 Å
α = 100.17°, β = 98.65°, γ = 110.50°
Space group P-1 (No. 2)
Unique sites:
Pu  0.219  0.478  0.386 [2 per cell]
U  0.000  0.000  0.500 [1 per cell]
U  0.500  0.500  0.000 [1 per cell]
Co  0.250  0.943  0.134 [2 per cell]

## Properties
ΔE to the lowest computed polymorph in meV/atom: 103
Energy relative to the elements in eV per atom: 0.10

The following is a PBE calculation of Rb4Ga2Si5 after structural relaxation, from the Alexandria database.

a = 7.014 Å, b = 5.947 Å, c = 7.534 Å
α = 90.00°, β = 92.90°, γ = 90.00°
Space group P2/m (No. 10)
Unique sites:
Rb  0.234  0.000  0.131 [2 per cell]
Rb  0.254  0.000  0.640 [2 per cell]
Ga  0.414  0.500  0.343 [2 per cell]
Si  0.063  0.500  0.361 [2 per cell]
Si  0.126  0.500  0.902 [2 per cell]
Si  0.500  0.500  0.000 [1 per cell]

## Properties
ΔE_f (raw) in kJ/mol of atoms: 9

Number 1: total moment 0.0 μB/f.u., total energy -0.51 eV per atom. Number 2: total moment 0.0 μB/f.u., total energy -10.80 eV per atom. Number 3: total moment 0.0 μB/f.u., total energy -3.27 eV per atom.